Below is CoCO3 after structural relaxation, with properties calculated at the PBE+U level.

Values from the calculation:
electronic total energy	-69.2	eV/cell

CIF file:
```
data_CoCO3
_cell_length_a 6.510
_cell_length_b 4.773
_cell_length_c 3.300
_cell_angle_alpha 90.00
_cell_angle_beta 91.50
_cell_angle_gamma 90.00
_symmetry_space_group_name_H-M 'C 1 m 1'
_symmetry_Int_Tables_number 8
loop_
_symmetry_equiv_pos_as_xyz
'x,y,z'
'x,-y,z'
'x+1/2,y+1/2,z'
'x+1/2,-y+1/2,z'
loop_
_atom_site_label
_atom_site_type_symbol
_atom_site_fract_x
_atom_site_fract_y
_atom_site_fract_z
Co1 Co 0.000 0.000 0.000
C1 C 0.433 0.000 0.370
O1 O 0.007 0.263 0.495
O2 O 0.302 0.000 0.075
```

***

Below is Co3C11O9 after structural relaxation, with properties calculated at the PBE+U level.

Values from the calculation:
electronic total energy	-338.9	eV/cell

CIF file:
```
data_Co3C11O9
_cell_length_a 7.578
_cell_length_b 8.460
_cell_length_c 12.097
_cell_angle_alpha 71.18
_cell_angle_beta 74.32
_cell_angle_gamma 67.91
_symmetry_space_group_name_H-M 'P -1'
_symmetry_Int_Tables_number 2
loop_
_symmetry_equiv_pos_as_xyz
'x,y,z'
'-x,-y,-z'
loop_
_atom_site_label
_atom_site_type_symbol
_atom_site_fract_x
_atom_site_fract_y
_atom_site_fract_z
Co1 Co 0.050 0.160 0.185
Co2 Co 0.152 0.329 0.272
Co3 Co 0.367 0.037 0.247
C1 C 0.017 0.964 0.189
C2 C 0.036 0.032 0.449
C3 C 0.078 0.531 0.684
C4 C 0.115 0.105 0.338
C5 C 0.132 0.248 0.033
C6 C 0.194 0.717 0.795
C7 C 0.242 0.463 0.138
C8 C 0.266 0.342 0.376
C9 C 0.384 0.818 0.267
C10 C 0.471 0.997 0.662
C11 C 0.491 0.903 0.894
O1 O 0.010 0.164 0.807
O2 O 0.186 0.307 0.934
O3 O 0.229 0.439 0.655
O4 O 0.296 0.552 0.051
O5 O 0.340 0.353 0.443
O6 O 0.354 0.019 0.609
O7 O 0.358 0.639 0.784
O8 O 0.388 0.675 0.283
O9 O 0.394 0.869 0.984
```

***

Below is CoCO3 after structural relaxation, with properties calculated at the PBE+U level.

Values from the calculation:
electronic total energy	-141.8	eV/cell

CIF file:
```
data_CoCO3
_cell_length_a 5.768
_cell_length_b 7.527
_cell_length_c 4.377
_cell_angle_alpha 90.00
_cell_angle_beta 90.00
_cell_angle_gamma 90.00
_symmetry_space_group_name_H-M 'P n m a'
_symmetry_Int_Tables_number 62
loop_
_symmetry_equiv_pos_as_xyz
'x,y,z'
'-x,-y,-z'
'-x+1/2,-y,z+1/2'
'x+1/2,y,-z+1/2'
'x+1/2,-y+1/2,-z+1/2'
'-x+1/2,y+1/2,z+1/2'
'-x,y+1/2,-z'
'x,-y+1/2,z'
loop_
_atom_site_label
_atom_site_type_symbol
_atom_site_fract_x
_atom_site_fract_y
_atom_site_fract_z
Co1 Co 0.000 0.000 0.000
C1 C 0.129 0.250 0.500
O1 O 0.046 0.250 0.228
O2 O 0.177 0.101 0.635
```

***

Please write out number 2 again, unchanged.
Below is Co3C11O9 after structural relaxation, with properties calculated at the PBE+U level.

Values from the calculation:
electronic total energy	-338.9	eV/cell

CIF file:
```
data_Co3C11O9
_cell_length_a 7.578
_cell_length_b 8.460
_cell_length_c 12.097
_cell_angle_alpha 71.18
_cell_angle_beta 74.32
_cell_angle_gamma 67.91
_symmetry_space_group_name_H-M 'P -1'
_symmetry_Int_Tables_number 2
loop_
_symmetry_equiv_pos_as_xyz
'x,y,z'
'-x,-y,-z'
loop_
_atom_site_label
_atom_site_type_symbol
_atom_site_fract_x
_atom_site_fract_y
_atom_site_fract_z
Co1 Co 0.050 0.160 0.185
Co2 Co 0.152 0.329 0.272
Co3 Co 0.367 0.037 0.247
C1 C 0.017 0.964 0.189
C2 C 0.036 0.032 0.449
C3 C 0.078 0.531 0.684
C4 C 0.115 0.105 0.338
C5 C 0.132 0.248 0.033
C6 C 0.194 0.717 0.795
C7 C 0.242 0.463 0.138
C8 C 0.266 0.342 0.376
C9 C 0.384 0.818 0.267
C10 C 0.471 0.997 0.662
C11 C 0.491 0.903 0.894
O1 O 0.010 0.164 0.807
O2 O 0.186 0.307 0.934
O3 O 0.229 0.439 0.655
O4 O 0.296 0.552 0.051
O5 O 0.340 0.353 0.443
O6 O 0.354 0.019 0.609
O7 O 0.358 0.639 0.784
O8 O 0.388 0.675 0.283
O9 O 0.394 0.869 0.984
```

***

The lowest electronic total energy belongs to which entry? Co3C11O9

***

Please write out number 2 again, unchanged.
Below is Co3C11O9 after structural relaxation, with properties calculated at the PBE+U level.

Values from the calculation:
electronic total energy	-338.9	eV/cell

CIF file:
```
data_Co3C11O9
_cell_length_a 7.578
_cell_length_b 8.460
_cell_length_c 12.097
_cell_angle_alpha 71.18
_cell_angle_beta 74.32
_cell_angle_gamma 67.91
_symmetry_space_group_name_H-M 'P -1'
_symmetry_Int_Tables_number 2
loop_
_symmetry_equiv_pos_as_xyz
'x,y,z'
'-x,-y,-z'
loop_
_atom_site_label
_atom_site_type_symbol
_atom_site_fract_x
_atom_site_fract_y
_atom_site_fract_z
Co1 Co 0.050 0.160 0.185
Co2 Co 0.152 0.329 0.272
Co3 Co 0.367 0.037 0.247
C1 C 0.017 0.964 0.189
C2 C 0.036 0.032 0.449
C3 C 0.078 0.531 0.684
C4 C 0.115 0.105 0.338
C5 C 0.132 0.248 0.033
C6 C 0.194 0.717 0.795
C7 C 0.242 0.463 0.138
C8 C 0.266 0.342 0.376
C9 C 0.384 0.818 0.267
C10 C 0.471 0.997 0.662
C11 C 0.491 0.903 0.894
O1 O 0.010 0.164 0.807
O2 O 0.186 0.307 0.934
O3 O 0.229 0.439 0.655
O4 O 0.296 0.552 0.051
O5 O 0.340 0.353 0.443
O6 O 0.354 0.019 0.609
O7 O 0.358 0.639 0.784
O8 O 0.388 0.675 0.283
O9 O 0.394 0.869 0.984
```

***

What is the electronic total energy in the second record? -338.9 eV/cell